(1)
VASP calculation (PBE-GGA) on Ba5SiS8 after structural relaxation.

Results
space-group type = I-4
total moment = 2.0 μB/cell
E_form (uncorrected) = -19.280 eV/f.u.
volume = 447.3 Å³/cell
energy = -4.81 eV/atom

Cell lengths 8.4153, 8.4153, 8.4153 Å; angles 115.01, 115.01, 98.89 degrees
With the nearest neighbours (Å) after each atom.
Fractional positions:
Ba 0.0000 0.0000 0.0000  4 S 3.06
Ba 0.2459 0.1091 0.5873  6 S 3.05-3.37
Ba 0.3414 0.7541 0.8632  6 S 3.05-3.37
Ba 0.5218 0.6586 0.4127  6 S 3.05-3.37
Ba 0.8909 0.4782 0.1368  6 S 3.05-3.37
Si 0.7500 0.2500 0.5000  4 S 2.15
S 0.0414 0.3783 0.7622  1 Si 2.15
S 0.1999 0.7958 0.1927  5 Ba 3.05-3.37, 1 S 3.31
S 0.2042 0.3969 0.4041  5 Ba 3.05-3.37, 1 S 3.31
S 0.6031 0.0072 0.8073  5 Ba 3.05-3.37, 1 S 3.31
S 0.6161 0.2792 0.2378  1 Si 2.15
S 0.6217 0.3839 0.6630  1 Si 2.15
S 0.7208 0.9586 0.3370  1 Si 2.15
S 0.9928 0.8001 0.5959  5 Ba 3.05-3.37, 1 S 3.31

(2)
VASP calculation (PBE-GGA) on BaSiS3 after structural relaxation.

Results
space-group type = Ima2
total moment = 0.0 μB/cell
E_form (uncorrected) = -5.316 eV/f.u.
volume = 338.3 Å³/cell
energy = -5.01 eV/atom

Cell lengths 7.6706, 7.6706, 7.6706 Å; angles 119.12, 100.56, 109.27 degrees
With the nearest neighbours (Å) after each atom.
Fractional positions:
Ba 0.2486 0.2500 0.4986  6 S 3.20-3.30
Ba 0.7514 0.7500 0.5014  6 S 3.20-3.30
Si 0.5455 0.9999 0.0455  3 S 2.02-2.06
Si 0.9544 0.4999 0.9545  3 S 2.02-2.06
S 0.0743 0.2824 0.8558  1 Si 2.06
S 0.0743 0.7184 0.2918  1 Si 2.06
S 0.4266 0.2184 0.1442  1 Si 2.06
S 0.4266 0.7824 0.7082  1 Si 2.06
S 0.7471 0.4992 0.7479  1 Si 2.02
S 0.7513 0.9992 0.2521  1 Si 2.02

(3)
VASP calculation (PBE-GGA) on BaSiS3 after structural relaxation.

Results
space-group type = C2/c
total moment = 0.0 μB/cell
E_form (uncorrected) = -6.620 eV/f.u.
volume = 913.1 Å³/cell
energy = -5.27 eV/atom

Cell lengths 9.1645, 9.1645, 13.6482 Å; angles 109.81, 109.81, 59.95 degrees
With the nearest neighbours (Å) after each atom.
Fractional positions:
Ba 0.0000 0.5000 0.5000  8 S 3.19-3.38
Ba 0.1613 0.6783 0.9997  8 S 3.24-3.39
Ba 0.3217 0.8387 0.5003  8 S 3.24-3.39
Ba 0.5000 0.0000 0.0000  8 S 3.19-3.38
Ba 0.6783 0.1613 0.4997  8 S 3.24-3.39
Ba 0.8387 0.3217 0.0003  8 S 3.24-3.39
Si 0.0846 0.1609 0.7516  4 S 2.08-2.20
Si 0.1609 0.0846 0.2516  4 S 2.08-2.20
Si 0.3295 0.6705 0.7500  4 S 2.09-2.20
Si 0.6705 0.3295 0.2500  4 S 2.09-2.20
Si 0.8391 0.9154 0.7484  4 S 2.08-2.20
Si 0.9154 0.8391 0.2484  4 S 2.08-2.20
S 0.0350 0.2181 0.6043  1 Si 2.09
S 0.0840 0.6817 0.7498  2 Si 2.19-2.20
S 0.1329 0.3154 0.8990  1 Si 2.08
S 0.1502 0.8498 0.2500  2 Si 2.20
S 0.2181 0.0350 0.1043  1 Si 2.09
S 0.3154 0.1329 0.3990  1 Si 2.08
S 0.3183 0.9160 0.7502  2 Si 2.19-2.20
S 0.3841 0.5174 0.6021  1 Si 2.09
S 0.4826 0.6159 0.8979  1 Si 2.09
S 0.5174 0.3841 0.1021  1 Si 2.09
S 0.6159 0.4826 0.3979  1 Si 2.09
S 0.6817 0.0840 0.2498  2 Si 2.19-2.20
S 0.6846 0.8671 0.6010  1 Si 2.08
S 0.7819 0.9650 0.8957  1 Si 2.09
S 0.8498 0.1502 0.7500  2 Si 2.20
S 0.8671 0.6846 0.1010  1 Si 2.08
S 0.9160 0.3183 0.2502  2 Si 2.19-2.20
S 0.9650 0.7819 0.3957  1 Si 2.09

- energy of number 2 (BaSiS3)?
  -5.01 eV/atom

- E_form (uncorrected) of number 1 (Ba5SiS8)?
  -19.280 eV/f.u.

- The highest volume belongs to which entry?
  number 3

Copy entry 2 word for word.
VASP calculation (PBE-GGA) on BaSiS3 after structural relaxation.

Results
space-group type = Ima2
total moment = 0.0 μB/cell
E_form (uncorrected) = -5.316 eV/f.u.
volume = 338.3 Å³/cell
energy = -5.01 eV/atom

Cell lengths 7.6706, 7.6706, 7.6706 Å; angles 119.12, 100.56, 109.27 degrees
With the nearest neighbours (Å) after each atom.
Fractional positions:
Ba 0.2486 0.2500 0.4986  6 S 3.20-3.30
Ba 0.7514 0.7500 0.5014  6 S 3.20-3.30
Si 0.5455 0.9999 0.0455  3 S 2.02-2.06
Si 0.9544 0.4999 0.9545  3 S 2.02-2.06
S 0.0743 0.2824 0.8558  1 Si 2.06
S 0.0743 0.7184 0.2918  1 Si 2.06
S 0.4266 0.2184 0.1442  1 Si 2.06
S 0.4266 0.7824 0.7082  1 Si 2.06
S 0.7471 0.4992 0.7479  1 Si 2.02
S 0.7513 0.9992 0.2521  1 Si 2.02